The following is a PBE-GGA calculation of an optimized crystal structure of K2SiW, from Alexandria.

Cell lengths 2.9471, 4.7360, 6.0324 Å; angles 90.00, 90.00, 90.00 degrees
Atoms (fractional coordinates):
K  0.5000  0.5000  0.0000
K  0.0000  0.0000  0.0000
Si  0.5000  0.0000  0.5000
W  0.0000  0.5000  0.5000

## Properties
**Electronic total energy**: -3.9577 eV per atom
**Formation energy without anion corrections**: 1185 meV/atom
**SG**: Pmmm, No. 47
**Calculated volume**: 21.05 A^3/atom

***

The following is a PBE-GGA calculation of an optimized crystal structure of ReBTe2N, from Alexandria.

Cell lengths 5.3825, 5.3825, 3.7080 Å; angles 90.00, 90.00, 90.00 degrees
Atoms (fractional coordinates):
Te  0.0000  0.5000  0.0000
Te  0.5000  0.0000  0.0000
B  0.5000  0.5000  0.5000
N  0.0000  0.0000  0.5000
Re  0.0000  0.0000  0.0000

## Properties
**Electronic total energy**: -5.6136 eV per atom
**Formation energy without anion corrections**: 1133 meV/atom
**SG**: P4/mmm, No. 123
**Calculated volume**: 21.49 A^3/atom

***

The following is a PBE-GGA calculation of an optimized crystal structure of YPt2Rh, from Alexandria.

Cell lengths 3.0590, 3.9274, 5.8963 Å; angles 90.00, 90.00, 90.00 degrees
Atoms (fractional coordinates):
Y  0.5000  0.5000  0.7492
Pt  0.5000  0.5000  0.2594
Pt  0.0000  0.0000  0.0186
Rh  0.0000  0.0000  0.4728

## Properties
**Electronic total energy**: -7.0042 eV per atom
**Calculated formation energy**: -0.530 eV/atom
**SG**: Pmm2, No. 25
**Calculated volume**: 17.71 A^3/atom